# 1
Entry from Alexandria: Tl3Bi2Au after structural relaxation (GGA-PBE).

Unit cell a=10.963 b=6.705 c=11.481 alpha=90.00 beta=117.18 gamma=90.00
Space group C2/c (No. 15)
Unique sites:
Tl: 0.000 0.052 0.250 (multiplicity 4)
Tl: 0.133 0.355 0.565 (multiplicity 8)
Bi: 0.217 0.114 0.093 (multiplicity 8)
Au: 0.000 0.456 0.750 (multiplicity 4)

Summary:
formation enthalpy at 0 K	0.1	kJ/mol of atoms

---

# 2
Entry from Alexandria: K2HgW after structural relaxation (GGA-PBE).

Unit cell a=2.939 b=6.392 c=13.251 alpha=90.00 beta=90.00 gamma=90.00
Space group Imm2 (No. 44)
Unique sites:
K: 0.000 0.000 0.000 (multiplicity 2)
K: 0.000 0.500 0.194 (multiplicity 2)
Hg: 0.000 0.000 0.447 (multiplicity 2)
W: 0.000 0.500 0.762 (multiplicity 2)

Summary:
formation enthalpy at 0 K	107.4	kJ/mol of atoms

---

# 3
Entry from Alexandria: Pr2InH after structural relaxation (GGA-PBE).

Unit cell a=3.477 b=3.477 c=7.825 alpha=90.00 beta=90.00 gamma=90.00
Space group P4/mmm (No. 123)
Unique sites:
Pr: 0.000 0.000 0.217 (multiplicity 2)
In: 0.500 0.500 0.500 (multiplicity 1)
H: 0.500 0.500 0.000 (multiplicity 1)

Summary:
distance to the lowest polymorph of the same formula	0.225	eV/atom

---

# 4
Entry from Alexandria: Sm2PaN3 after structural relaxation (GGA-PBE).

Unit cell a=6.155 b=10.648 c=6.146 alpha=90.00 beta=109.40 gamma=90.00
Space group C2/c (No. 15)
Unique sites:
Sm: 0.000 0.083 0.250 (multiplicity 4)
Sm: 0.000 0.248 0.750 (multiplicity 4)
Pa: 0.000 0.414 0.250 (multiplicity 4)
N: 0.220 0.426 0.001 (multiplicity 8)
N: 0.250 0.250 0.500 (multiplicity 4)

Summary:
distance to the lowest polymorph of the same formula	0.000	eV/atom

---

# 5
Entry from Alexandria: Zn2MoAs after structural relaxation (GGA-PBE).

Unit cell a=9.367 b=2.742 c=4.943 alpha=90.00 beta=95.25 gamma=90.00
Space group Cm (No. 8)
Unique sites:
Zn: 0.000 0.000 0.000 (multiplicity 2)
Zn: 0.250 0.000 0.795 (multiplicity 2)
Mo: 0.231 0.500 0.283 (multiplicity 2)
As: 0.473 0.000 0.475 (multiplicity 2)

Summary:
formation enthalpy at 0 K	12.2	kJ/mol of atoms

---

# 6
Entry from Alexandria: Ce3PmGa4 after structural relaxation (GGA-PBE).

Unit cell a=3.486 b=6.903 c=17.330 alpha=90.00 beta=90.00 gamma=90.00
Space group Immm (No. 71)
Unique sites:
Ce: 0.000 0.000 0.000 (multiplicity 2)
Ce: 0.000 0.500 0.209 (multiplicity 4)
Pm: 0.000 0.000 0.500 (multiplicity 2)
Ga: 0.000 0.305 0.371 (multiplicity 8)

Summary:
distance to the lowest polymorph of the same formula	0.138	eV/atom
formation enthalpy at 0 K	-32.3	kJ/mol of atoms

---

no.,size of the total moment (μB per cell)
1,0.00
2,4.53
3,0.00
4,0.00
5,0.00
6,4.08